[1]
The following is a PBE-GGA calculation of a geometry-optimized BaPbBr2 structure, from the Alexandria database.

Calculated values
E_form (uncorrected): -1.08 eV per atom

Cell lengths 4.173, 5.115, 6.777 Å; angles 90.00, 92.76, 90.00 degrees
Fractional coordinates of all 4 atoms:
Ba  0.000  0.000  0.000
Pb  0.500  0.000  0.500
Br  0.301  0.500  0.753
Br  0.699  0.500  0.247

=====

[2]
The following is a PBE-GGA calculation of a geometry-optimized Ir5Pt structure, from the Alexandria database.

Calculated values
formation energy from the elements: 42 meV per atom

Cell lengths 6.162, 6.162, 3.888 Å; angles 90.00, 90.00, 143.26 degrees
Fractional coordinates of all 6 atoms:
Ir  0.000  0.000  0.000
Ir  0.171  0.829  0.500
Ir  0.331  0.669  0.000
Ir  0.669  0.331  0.000
Ir  0.829  0.171  0.500
Pt  0.500  0.500  0.500

=====

[3]
The following is a PBE-GGA calculation of a geometry-optimized CdTePH structure, from the Alexandria database.

Calculated values
total energy: -13.048 eV per cell

Cell lengths 4.531, 4.550, 5.877 Å; angles 110.85, 108.27, 96.37 degrees
Fractional coordinates of all 4 atoms:
Cd  0.000  0.000  0.000
Te  0.612  0.907  0.284
P  0.935  0.349  0.738
H  0.234  0.353  0.702

=====

[4]
The following is a PBE-GGA calculation of a geometry-optimized K2LiCuBr4 structure, from the Alexandria database.

Calculated values
E_form (uncorrected): -1.24 eV per atom

Cell lengths 8.847, 8.847, 8.847 Å; angles 114.40, 113.14, 101.18 degrees
Fractional coordinates of all 16 atoms:
K  0.000  0.000  0.000
K  0.500  0.000  0.000
K  0.500  0.000  0.500
K  0.500  0.500  0.500
Li  0.000  0.500  0.500
Li  0.500  0.500  0.000
Cu  0.000  0.000  0.500
Cu  0.000  0.500  0.000
Br  0.204  0.199  0.495
Br  0.204  0.709  0.005
Br  0.244  0.716  0.528
Br  0.312  0.284  0.028
Br  0.688  0.716  0.972
Br  0.756  0.284  0.472
Br  0.796  0.291  0.995
Br  0.796  0.801  0.505

=====

[5]
The following is a PBE-GGA calculation of a geometry-optimized Tl4Te3H4 structure, from the Alexandria database.

Calculated values
total energy: -31.753 eV per cell

Cell lengths 5.040, 7.163, 8.958 Å; angles 110.02, 96.10, 101.58 degrees
Fractional coordinates of all 11 atoms:
Tl  0.013  0.038  0.232
Tl  0.329  0.526  0.680
Tl  0.671  0.474  0.320
Tl  0.987  0.962  0.768
Te  0.287  0.819  0.426
Te  0.500  0.000  0.000
Te  0.713  0.181  0.574
H  0.055  0.550  0.021
H  0.270  0.317  0.359
H  0.730  0.683  0.641
H  0.945  0.450  0.979

=====

[6]
The following is a PBE-GGA calculation of a geometry-optimized Cs6TeBr3Cl2 structure, from the Alexandria database.

Calculated values
E_form (uncorrected): -1.60 eV per atom

Cell lengths 11.652, 11.652, 10.674 Å; angles 102.39, 102.39, 25.33 degrees
Fractional coordinates of all 12 atoms:
Cs  0.005  0.005  0.270
Cs  0.327  0.327  0.903
Cs  0.330  0.330  0.422
Cs  0.670  0.670  0.578
Cs  0.673  0.673  0.097
Cs  0.995  0.995  0.730
Te  0.500  0.500  0.000
Br  0.164  0.164  0.831
Br  0.500  0.500  0.500
Br  0.836  0.836  0.169
Cl  0.170  0.170  0.340
Cl  0.830  0.830  0.660

=====

[7]
The following is a PBE-GGA calculation of a geometry-optimized Ca4Ac5Nd structure, from the Alexandria database.

Calculated values
formation energy from the elements: 52 meV per atom

Cell lengths 3.893, 3.893, 28.198 Å; angles 90.00, 90.00, 90.00 degrees
Fractional coordinates of all 10 atoms:
Ca  0.000  0.000  0.102
Ca  0.000  0.000  0.304
Ca  0.000  0.000  0.696
Ca  0.000  0.000  0.898
Ac  0.500  0.500  0.000
Ac  0.500  0.500  0.203
Ac  0.500  0.500  0.408
Ac  0.500  0.500  0.592
Ac  0.500  0.500  0.797
Nd  0.000  0.000  0.500

=====

[8]
The following is a PBE-GGA calculation of a geometry-optimized IrOs2Rh8 structure, from the Alexandria database.

Calculated values
formation energy from the elements: 282 meV per atom

Cell lengths 6.482, 6.482, 4.107 Å; angles 90.00, 90.00, 104.00 degrees
Fractional coordinates of all 11 atoms:
Ir  0.000  0.000  0.000
Os  0.380  0.620  0.500
Os  0.620  0.380  0.500
Rh  0.036  0.301  0.500
Rh  0.249  0.751  0.000
Rh  0.301  0.036  0.500
Rh  0.335  0.335  0.000
Rh  0.665  0.665  0.000
Rh  0.699  0.964  0.500
Rh  0.751  0.249  0.000
Rh  0.964  0.699  0.500

=====

[9]
The following is a PBE-GGA calculation of a geometry-optimized ScSF3 structure, from the Alexandria database.

Calculated values
E_form (uncorrected): -2.44 eV per atom

Cell lengths 4.181, 4.181, 4.181 Å; angles 90.00, 90.00, 90.00 degrees
Fractional coordinates of all 5 atoms:
Sc  0.000  0.000  0.000
S  0.500  0.500  0.500
F  0.000  0.000  0.500
F  0.000  0.500  0.000
F  0.500  0.000  0.000

=====

[10]
The following is a PBE-GGA calculation of a geometry-optimized La2Y2Er15 structure, from the Alexandria database.

Calculated values
formation energy from the elements: 276 meV per atom

Cell lengths 8.681, 8.681, 8.681 Å; angles 80.08, 80.08, 80.08 degrees
Fractional coordinates of all 19 atoms:
La  0.117  0.117  0.117
La  0.883  0.883  0.883
Y  0.331  0.331  0.331
Y  0.669  0.669  0.669
Er  0.000  0.000  0.500
Er  0.000  0.306  0.694
Er  0.000  0.500  0.000
Er  0.000  0.694  0.306
Er  0.154  0.632  0.632
Er  0.306  0.000  0.694
Er  0.306  0.694  0.000
Er  0.368  0.368  0.846
Er  0.368  0.846  0.368
Er  0.500  0.000  0.000
Er  0.632  0.154  0.632
Er  0.632  0.632  0.154
Er  0.694  0.000  0.306
Er  0.694  0.306  0.000
Er  0.846  0.368  0.368

=====

[11]
The following is a PBE-GGA calculation of a geometry-optimized HgBiTeN2 structure, from the Alexandria database.

Calculated values
E_form (uncorrected): 1.75 eV per atom

Cell lengths 4.458, 4.458, 6.173 Å; angles 90.00, 90.00, 90.00 degrees
Fractional coordinates of all 5 atoms:
Hg  0.000  0.000  0.000
Bi  0.500  0.500  0.500
Te  0.000  0.000  0.500
N  0.000  0.500  0.000
N  0.500  0.000  0.000

=====

[12]
The following is a PBE-GGA calculation of a geometry-optimized Ac6Cd5Ga structure, from the Alexandria database.

Calculated values
formation energy from the elements: -318 meV per atom

Cell lengths 5.716, 8.099, 9.059 Å; angles 90.00, 108.41, 90.00 degrees
Fractional coordinates of all 12 atoms:
Ac  0.000  0.238  0.000
Ac  0.000  0.762  0.000
Ac  0.339  0.244  0.676
Ac  0.339  0.756  0.676
Ac  0.661  0.244  0.324
Ac  0.661  0.756  0.324
Cd  0.167  0.500  0.336
Cd  0.171  0.000  0.344
Cd  0.500  0.500  0.000
Cd  0.829  0.000  0.656
Cd  0.833  0.500  0.664
Ga  0.500  0.000  0.000

=====

[13]
The following is a PBE-GGA calculation of a geometry-optimized Hf2TlSe4 structure, from the Alexandria database.

Calculated values
E_form (uncorrected): -1.03 eV per atom

Cell lengths 6.807, 6.807, 13.660 Å; angles 90.00, 90.00, 146.44 degrees
Fractional coordinates of all 14 atoms:
Hf  0.132  0.868  0.563
Hf  0.132  0.868  0.937
Hf  0.868  0.132  0.063
Hf  0.868  0.132  0.437
Tl  0.398  0.602  0.750
Tl  0.602  0.398  0.250
Se  0.082  0.918  0.750
Se  0.233  0.767  0.109
Se  0.233  0.767  0.391
Se  0.500  0.500  0.000
Se  0.500  0.500  0.500
Se  0.767  0.233  0.609
Se  0.767  0.233  0.891
Se  0.918  0.082  0.250

=====

[14]
The following is a PBE-GGA calculation of a geometry-optimized TlTeCl2 structure, from the Alexandria database.

Calculated values
E_form (uncorrected): -0.47 eV per atom

Cell lengths 9.771, 9.771, 9.771 Å; angles 23.25, 23.25, 23.25 degrees
Fractional coordinates of all 4 atoms:
Tl  0.000  0.000  0.000
Te  0.500  0.500  0.500
Cl  0.409  0.409  0.409
Cl  0.591  0.591  0.591

=====

[15]
The following is a PBE-GGA calculation of a geometry-optimized CaZr2VI structure, from the Alexandria database.

Calculated values
E_form (uncorrected): 0.50 eV per atom

Cell lengths 4.817, 4.817, 6.245 Å; angles 90.00, 90.00, 90.00 degrees
Fractional coordinates of all 5 atoms:
Ca  0.000  0.000  0.000
Zr  0.000  0.500  0.500
Zr  0.500  0.000  0.500
V  0.000  0.000  0.500
I  0.500  0.500  0.000

=====

[16]
The following is a PBE-GGA calculation of a geometry-optimized KRb2OsBr8 structure, from the Alexandria database.

Calculated values
E_form (uncorrected): -0.88 eV per atom

Cell lengths 6.351, 8.121, 10.144 Å; angles 89.73, 89.90, 69.41 degrees
Fractional coordinates of all 12 atoms:
K  0.000  0.000  0.000
Rb  0.492  0.497  0.247
Rb  0.508  0.503  0.753
Os  0.000  0.000  0.500
Br  0.066  0.194  0.325
Br  0.074  0.188  0.675
Br  0.405  0.816  0.497
Br  0.464  0.244  0.997
Br  0.536  0.756  0.003
Br  0.595  0.184  0.503
Br  0.926  0.812  0.325
Br  0.934  0.806  0.675

=====

[17]
The following is a PBE-GGA calculation of a geometry-optimized KTlCoBr6 structure, from the Alexandria database.

Calculated values
E_form (uncorrected): -0.66 eV per atom

Cell lengths 7.380, 7.380, 13.214 Å; angles 90.00, 90.00, 120.00 degrees
Fractional coordinates of all 18 atoms:
K  0.000  0.000  0.000
K  0.000  0.000  0.500
Tl  0.333  0.667  0.250
Tl  0.667  0.333  0.750
Co  0.333  0.667  0.750
Co  0.667  0.333  0.250
Br  0.066  0.405  0.642
Br  0.066  0.661  0.858
Br  0.339  0.405  0.858
Br  0.339  0.934  0.642
Br  0.405  0.066  0.142
Br  0.405  0.339  0.358
Br  0.595  0.661  0.642
Br  0.595  0.934  0.858
Br  0.661  0.066  0.358
Br  0.661  0.595  0.142
Br  0.934  0.339  0.142
Br  0.934  0.595  0.358

=====

[18]
The following is a PBE-GGA calculation of a geometry-optimized YIr2Cl structure, from the Alexandria database.

Calculated values
E_form (uncorrected): -0.46 eV per atom

Cell lengths 3.334, 3.583, 8.055 Å; angles 90.00, 96.76, 90.00 degrees
Fractional coordinates of all 4 atoms:
Y  0.000  0.000  0.000
Ir  0.430  0.500  0.757
Ir  0.905  0.000  0.666
Cl  0.557  0.500  0.199

=====

[19]
The following is a PBE-GGA calculation of a geometry-optimized PaBi2Pb structure, from the Alexandria database.

Calculated values
formation energy from the elements: -101 meV per atom

Cell lengths 4.164, 4.164, 6.816 Å; angles 90.00, 90.00, 90.00 degrees
Fractional coordinates of all 4 atoms:
Pa  0.000  0.000  0.000
Bi  0.500  0.500  0.233
Bi  0.500  0.500  0.767
Pb  0.000  0.000  0.500

=====

[20]
The following is a PBE-GGA calculation of a geometry-optimized Nd2CuO4 structure, from the Alexandria database.

Calculated values
E_form (uncorrected): -2.50 eV per atom

Cell lengths 6.919, 6.919, 5.609 Å; angles 90.00, 90.00, 135.51 degrees
Fractional coordinates of all 14 atoms:
Nd  0.139  0.861  0.981
Nd  0.361  0.639  0.481
Nd  0.639  0.361  0.519
Nd  0.861  0.139  0.019
Cu  0.000  0.000  0.500
Cu  0.500  0.500  0.000
O  0.187  0.813  0.576
O  0.232  0.268  0.750
O  0.268  0.232  0.250
O  0.313  0.687  0.076
O  0.687  0.313  0.924
O  0.732  0.768  0.750
O  0.768  0.732  0.250
O  0.813  0.187  0.424